No. 1
This record from the Alexandria database describes a relaxed LaLuHgAu crystal. The functional is GGA-PBE.

Lattice parameters (Å, degrees): 5.2729 5.2729 5.2729 60.00 60.00 60.00
With the nearest neighbours (Å) after each atom.
Positions (direct):
Au  0.2500  0.2500  0.2500  4 Lu 3.23, 4 La 3.23
Lu  0.5000  0.5000  0.5000  4 Hg 3.23, 4 Au 3.23
Hg  0.7500  0.7500  0.7500  4 La 3.23, 4 Lu 3.23
La  0.0000  0.0000  0.0000  4 Au 3.23, 4 Hg 3.23

Results
- total DFT energy (no corrections) (eV/atom) = -3.871



No. 2
This record from the Alexandria database describes a relaxed DyThMnAl crystal. The functional is GGA-PBE.

Lattice parameters (Å, degrees): 5.1300 5.1300 5.1300 60.00 60.00 60.00
With the nearest neighbours (Å) after each atom.
Positions (direct):
Dy  0.7500  0.7500  0.7500  4 Mn 3.14, 4 Al 3.14
Mn  0.0000  0.0000  0.0000  4 Dy 3.14, 4 Th 3.14
Th  0.2500  0.2500  0.2500  4 Mn 3.14, 4 Al 3.14
Al  0.5000  0.5000  0.5000  4 Dy 3.14, 4 Th 3.14

Results
- total DFT energy (no corrections) (eV/atom) = -6.232



No. 3
This record from the Alexandria database describes a relaxed SiRu2RhSe crystal. The functional is GGA-PBE.

Lattice parameters (Å, degrees): 4.4463 4.3977 4.4463 90.00 90.00 90.00
With the nearest neighbours (Å) after each atom.
Positions (direct):
Rh  0.0000  0.5000  0.0000  2 Si 2.20
Si  0.0000  0.0000  0.0000  2 Rh 2.20, 4 Ru 2.22
Se  0.5000  0.5000  0.5000  8 Ru 3.13, 4 Rh 3.14
Ru  0.5000  0.0000  0.0000  2 Si 2.22
Ru  0.0000  0.0000  0.5000  2 Si 2.22

Results
- formation energy without anion corrections (eV per formula unit) = 3.6



No. 4
This record from the Alexandria database describes a relaxed Fe2TeCl crystal. The functional is GGA-PBE.

Lattice parameters (Å, degrees): 4.7216 4.7216 4.7216 60.00 60.00 60.00
With the nearest neighbours (Å) after each atom.
Positions (direct):
Fe  0.7500  0.7500  0.7500  4 Cl 2.89, 4 Fe 2.89
Fe  0.0000  0.0000  0.0000  4 Fe 2.89, 4 Te 2.89
Cl  0.5000  0.5000  0.5000  4 Te 2.89, 4 Fe 2.89
Te  0.2500  0.2500  0.2500  4 Fe 2.89, 4 Cl 2.89

Results
- formation energy without anion corrections (eV per formula unit) = 2.9
- ΔE to the lowest computed polymorph (meV per atom) = 870.9



No. 5
This record from the Alexandria database describes a relaxed CrSn2TeC crystal. The functional is GGA-PBE.

Lattice parameters (Å, degrees): 5.9082 4.8015 5.9082 90.00 90.00 90.00
With the nearest neighbours (Å) after each atom.
Positions (direct):
Te  0.0000  0.0000  0.0000  2 Cr 2.40
Sn  0.5000  0.0000  0.0000  2 Te 2.95
Sn  0.0000  0.0000  0.5000  2 Te 2.95
Cr  0.0000  0.5000  0.0000  2 Te 2.40
C  0.5000  0.5000  0.5000  8 Sn 3.81, 4 Cr 4.18

Results
- formation energy without anion corrections (eV per formula unit) = 11.9



No. 6
This record from the Alexandria database describes a relaxed YSi2Au6 crystal. The functional is GGA-PBE.

Lattice parameters (Å, degrees): 4.3663 4.3663 8.7584 90.00 90.00 90.00
With the nearest neighbours (Å) after each atom.
Positions (direct):
Au  0.0000  0.5000  0.7314  2 Si 2.49
Au  0.5000  0.5000  0.5000  12 Au 2.98-3.09, 2 Si 3.22
Au  0.0000  0.5000  0.2686  2 Si 2.49
Au  0.0000  0.0000  0.5000  12 Au 2.98-3.09
Au  0.5000  0.0000  0.7314  2 Si 2.49
Au  0.5000  0.0000  0.2686  2 Si 2.49
Si  0.5000  0.5000  0.1321  1 Si 2.31, 4 Au 2.49
Si  0.5000  0.5000  0.8679  1 Si 2.31, 4 Au 2.49
Y  0.0000  0.0000  0.0000  8 Au 3.21, 8 Si 3.30

Results
- formation energy without anion corrections (eV per formula unit) = -3.0



No. 7
This record from the Alexandria database describes a relaxed KPS2O crystal. The functional is GGA-PBE.

Lattice parameters (Å, degrees): 5.0526 5.0526 3.7142 90.00 90.00 90.00
With the nearest neighbours (Å) after each atom.
Positions (direct):
S  0.5000  0.0000  0.0000  2 O 2.53
S  0.0000  0.5000  0.0000  2 O 2.53
P  0.0000  0.0000  0.5000  2 O 1.86
K  0.5000  0.5000  0.5000  8 S 3.14
O  0.0000  0.0000  0.0000  2 P 1.86

Results
- formation energy without anion corrections (eV per formula unit) = 1.5
- ΔE to the lowest computed polymorph (meV per atom) = 664.6



No. 8
This record from the Alexandria database describes a relaxed Hf3CoBi crystal. The functional is GGA-PBE.

Lattice parameters (Å, degrees): 5.2769 5.2769 5.2769 90.00 90.00 90.00
With the nearest neighbours (Å) after each atom.
Positions (direct):
Hf  0.5000  0.0000  0.0000  2 Bi 2.64
Hf  0.0000  0.5000  0.0000  2 Bi 2.64
Hf  0.0000  0.0000  0.5000  2 Bi 2.64
Co  0.5000  0.5000  0.5000  12 Hf 3.73
Bi  0.0000  0.0000  0.0000  6 Hf 2.64

Results
- ΔE to the lowest computed polymorph (meV per atom) = 2146.0



No. 9
This record from the Alexandria database describes a relaxed La5Hg4Pb crystal. The functional is GGA-PBE.

Lattice parameters (Å, degrees): 3.8817 3.8817 20.1371 90.00 90.00 90.00
With the nearest neighbours (Å) after each atom.
Positions (direct):
Hg  0.0000  0.0000  0.7925  8 La 3.36-3.43
Hg  0.0000  0.0000  0.5990  8 La 3.37-3.39
Hg  0.0000  0.0000  0.4010  8 La 3.37-3.39
Hg  0.0000  0.0000  0.2075  8 La 3.36-3.43
La  0.5000  0.5000  0.1056  4 Hg 3.43, 4 Pb 3.47
La  0.5000  0.5000  0.5000  8 Hg 3.39
La  0.5000  0.5000  0.3037  8 Hg 3.36-3.37
La  0.5000  0.5000  0.6963  8 Hg 3.36-3.37
La  0.5000  0.5000  0.8944  4 Hg 3.43, 4 Pb 3.47
Pb  0.0000  0.0000  0.0000  8 La 3.47, 4 Pb 3.88

Results
- total DFT energy (no corrections) (eV/atom) = -3.469



No. 10
This record from the Alexandria database describes a relaxed Sr6TlSi2 crystal. The functional is GGA-PBE.

Lattice parameters (Å, degrees): 9.5235 9.5235 9.5235 106.41 109.54 112.52
With the nearest neighbours (Å) after each atom.
Positions (direct):
Sr  0.8996  0.7223  0.1773  3 Si 3.29-3.37, 1 Tl 3.52
Sr  0.3220  0.9873  0.6653  3 Si 3.21-3.26
Sr  0.1004  0.2777  0.8227  3 Si 3.29-3.37, 1 Tl 3.52
Sr  0.5451  0.7223  0.8227  3 Si 3.29-3.37, 1 Tl 3.52
Sr  0.6780  0.3432  0.6653  3 Si 3.21-3.26
Sr  0.8060  0.2454  0.0514  1 Si 3.16, 1 Tl 3.52
Sr  0.1940  0.7546  0.9486  1 Si 3.16, 1 Tl 3.52
Sr  0.4549  0.2777  0.1773  3 Si 3.29-3.37, 1 Tl 3.52
Sr  0.6780  0.0127  0.3347  3 Si 3.21-3.26
Sr  0.1940  0.2454  0.4393  1 Si 3.16, 1 Tl 3.52
Sr  0.3220  0.6568  0.3347  3 Si 3.21-3.26
Sr  0.8060  0.7546  0.5607  1 Si 3.16, 1 Tl 3.52
Tl  0.0000  0.5000  0.5000  8 Sr 3.60-3.89
Tl  0.0000  0.0000  0.0000  8 Sr 3.52, 2 Si 3.61
Si  0.6717  0.0000  0.6717  8 Sr 3.16-3.37
Si  0.5000  0.3930  0.8930  1 Si 2.44
Si  0.3283  0.0000  0.3283  8 Sr 3.16-3.37
Si  0.5000  0.6070  0.1070  1 Si 2.44

Results
- formation energy without anion corrections (eV per formula unit) = -2.8



No. 11
This record from the Alexandria database describes a relaxed Ag5Pb crystal. The functional is GGA-PBE.

Lattice parameters (Å, degrees): 5.2854 5.2854 6.7140 71.63 71.63 42.46
With the nearest neighbours (Å) after each atom.
Positions (direct):
Ag  0.3613  0.3613  0.7582  9 Ag 2.84-3.14, 2 Pb 3.06
Ag  0.3659  0.3659  0.2974  8 Ag 2.92-3.14, 3 Pb 3.05-3.08
Ag  0.6944  0.6944  0.6111  10 Ag 2.90-3.09
Ag  0.0230  0.0230  0.9248  8 Ag 2.92-3.14, 3 Pb 3.05-3.08
Ag  0.0276  0.0276  0.4641  9 Ag 2.84-3.14, 2 Pb 3.06
Pb  0.6944  0.6944  0.1111  12 Ag 3.05-3.36

Results
- ΔE to the lowest computed polymorph (meV per atom) = 5.9



No. 12
This record from the Alexandria database describes a relaxed Sm2Ga4Sn2Pd crystal. The functional is GGA-PBE.

Lattice parameters (Å, degrees): 6.6047 6.6047 6.6047 87.04 121.73 121.73
With the nearest neighbours (Å) after each atom.
Positions (direct):
Sn  0.0000  0.2801  0.2801  1 Pd 2.68, 4 Ga 2.90
Sn  0.0000  0.7199  0.7199  1 Pd 2.68, 4 Ga 2.90
Ga  0.5609  0.2805  0.2805  1 Pd 2.55, 2 Ga 2.82
Ga  0.0000  0.2805  0.7195  1 Pd 2.55, 2 Ga 2.82
Ga  0.4391  0.7195  0.7195  1 Pd 2.55, 2 Ga 2.82
Ga  0.0000  0.7195  0.2805  1 Pd 2.55, 2 Ga 2.82
Pd  0.0000  0.0000  0.0000  4 Ga 2.55, 2 Sn 2.68
Sm  0.5000  0.2500  0.7500  4 Sn 3.23, 8 Ga 3.31
Sm  0.5000  0.7500  0.2500  4 Sn 3.23, 8 Ga 3.31

Results
- total DFT energy (no corrections) (eV/atom) = -4.377



Size of the total moment for every record listed, in sequence, given in μB per cell: 0.01 2.80 0.00 6.69 1.81 0.00 0.00 0.00 1.13 2.51 0.00 0.00.
DOS(E_F) for every record listed, in sequence, given in states/eV per atom: 0.955 0.943 2.003 0.730 1.233 0.477 0.366 1.766 1.111 0.825 0.205 0.509.